Density functional theory data (PBE-GGA) for an optimized crystal structure of LaNd2Cu2Hg3Pd.

## Properties
Total magnetization (μB per cell): 0.01
Crystal system: orthorhombic
Energy of formation from the pure elements (eV per atom): -0.43
Final energy (eV/cell): -31.8

a = 3.965 Å, b = 7.809 Å, c = 7.809 Å
α = 120.09°, β = 90.00°, γ = 90.00°
Fractional positions:
Cu 0.500 0.668 0.333
Cu 0.500 0.333 0.668
Hg 0.500 0.997 0.269
Hg 0.500 0.734 0.734
Hg 0.500 0.269 0.997
La 0.000 0.398 0.398
Nd 0.000 0.999 0.601
Nd 0.000 0.601 0.999
Pd 0.000 0.002 0.002